Entry from Alexandria via LeMat-Bulk: crystalline K3Ho3ScTe8 at its relaxed geometry (PBE).

Values from the calculation:
For the calculated total energy, the calculation gives -0.3319 Ry per atom. The mass density is 5.02 g/cm³. The value obtained for the formation energy from raw total energies is -1283 meV/atom.

a = 9.906 Å, b = 9.906 Å, c = 9.906 Å
α = 51.83°, β = 51.83°, γ = 51.83°
Element x y z (fractional)
K  0.000  0.500  0.500
K  0.500  0.000  0.500
K  0.500  0.500  0.000
Ho  0.000  0.000  0.500
Ho  0.000  0.500  0.000
Ho  0.500  0.000  0.000
Sc  0.500  0.500  0.500
Te  0.236  0.236  0.236
Te  0.243  0.730  0.730
Te  0.270  0.270  0.757
Te  0.270  0.757  0.270
Te  0.730  0.243  0.730
Te  0.730  0.730  0.243
Te  0.757  0.270  0.270
Te  0.764  0.764  0.764



Entry from Alexandria via LeMat-Bulk: crystalline K3HoSc3Te8 at its relaxed geometry (PBE).

Values from the calculation:
For the calculated total energy, the calculation gives -0.3448 Ry per atom. The mass density is 4.57 g/cm³. The value obtained for the formation energy from raw total energies is -1225 meV/atom.

a = 8.441 Å, b = 8.441 Å, c = 9.764 Å
α = 115.57°, β = 115.57°, γ = 60.03°
Element x y z (fractional)
K  0.000  0.000  0.000
K  0.000  0.500  0.000
K  0.500  0.000  0.000
Ho  0.000  0.000  0.500
Sc  0.000  0.500  0.500
Sc  0.500  0.000  0.500
Sc  0.500  0.500  0.500
Te  0.242  0.242  0.704
Te  0.242  0.721  0.704
Te  0.267  0.267  0.302
Te  0.279  0.758  0.296
Te  0.721  0.242  0.704
Te  0.733  0.733  0.698
Te  0.758  0.279  0.296
Te  0.758  0.758  0.296



Entry from Alexandria via LeMat-Bulk: crystalline KHoSe4 at its relaxed geometry (PBE).

Values from the calculation:
For the calculated total energy, the calculation gives -0.3253 Ry per atom. The mass density is 5.26 g/cm³. The value obtained for the formation energy from raw total energies is -1157 meV/atom.

a = 6.259 Å, b = 6.259 Å, c = 8.385 Å
α = 90.00°, β = 90.00°, γ = 90.00°
Element x y z (fractional)
K  0.250  0.250  0.000
K  0.750  0.750  0.000
Ho  0.250  0.250  0.500
Ho  0.750  0.750  0.500
Se  0.112  0.612  0.295
Se  0.112  0.888  0.705
Se  0.388  0.612  0.705
Se  0.388  0.888  0.295
Se  0.612  0.112  0.705
Se  0.612  0.388  0.295
Se  0.888  0.112  0.295
Se  0.888  0.388  0.705



Entry from Alexandria via LeMat-Bulk: crystalline KHo2Se at its relaxed geometry (PBE).

Values from the calculation:
For the calculated total energy, the calculation gives -0.2926 Ry per atom. The mass density is 5.28 g/cm³. The value obtained for the formation energy from raw total energies is -546 meV/atom.

a = 3.845 Å, b = 3.845 Å, c = 32.989 Å
α = 90.00°, β = 90.00°, γ = 120.00°
Element x y z (fractional)
K  0.000  0.000  0.000
K  0.333  0.667  0.667
K  0.667  0.333  0.333
Ho  0.000  0.000  0.114
Ho  0.000  0.000  0.886
Ho  0.333  0.667  0.552
Ho  0.333  0.667  0.781
Ho  0.667  0.333  0.219
Ho  0.667  0.333  0.448
Se  0.000  0.000  0.500
Se  0.333  0.667  0.167
Se  0.667  0.333  0.833



Entry from Alexandria via LeMat-Bulk: crystalline KHo3Se4 at its relaxed geometry (PBE).

Values from the calculation:
For the calculated total energy, the calculation gives -0.3919 Ry per atom. The mass density is 6.72 g/cm³. The value obtained for the formation energy from raw total energies is -1735 meV/atom.

a = 4.122 Å, b = 4.122 Å, c = 28.554 Å
α = 90.00°, β = 90.00°, γ = 120.00°
Element x y z (fractional)
K  0.333  0.667  0.250
K  0.667  0.333  0.750
Ho  0.000  0.000  0.000
Ho  0.000  0.000  0.500
Ho  0.333  0.667  0.615
Ho  0.333  0.667  0.885
Ho  0.667  0.333  0.115
Ho  0.667  0.333  0.385
Se  0.000  0.000  0.170
Se  0.000  0.000  0.330
Se  0.000  0.000  0.670
Se  0.000  0.000  0.830
Se  0.333  0.667  0.057
Se  0.333  0.667  0.443
Se  0.667  0.333  0.557
Se  0.667  0.333  0.943



Entry from Alexandria via LeMat-Bulk: crystalline KHo6Se8 at its relaxed geometry (PBE).

Values from the calculation:
For the calculated total energy, the calculation gives -0.4030 Ry per atom. The mass density is 6.41 g/cm³. The value obtained for the formation energy from raw total energies is -1720 meV/atom.

a = 10.929 Å, b = 10.929 Å, c = 4.161 Å
α = 90.00°, β = 90.00°, γ = 120.00°
Element x y z (fractional)
K  0.000  0.000  0.000
Ho  0.138  0.656  0.750
Ho  0.344  0.482  0.750
Ho  0.482  0.138  0.250
Ho  0.518  0.862  0.750
Ho  0.656  0.518  0.250
Ho  0.862  0.344  0.250
Se  0.044  0.355  0.751
Se  0.311  0.956  0.751
Se  0.333  0.667  0.250
Se  0.355  0.311  0.249
Se  0.645  0.689  0.751
Se  0.667  0.333  0.750
Se  0.689  0.044  0.249
Se  0.956  0.645  0.249



Entry from Alexandria via LeMat-Bulk: crystalline KHoSiSe4 at its relaxed geometry (PBE).

Values from the calculation:
For the calculated total energy, the calculation gives -0.3519 Ry per atom. The mass density is 4.52 g/cm³. The value obtained for the formation energy from raw total energies is -1211 meV/atom.

a = 6.667 Å, b = 6.965 Å, c = 9.096 Å
α = 90.00°, β = 107.62°, γ = 90.00°
Element x y z (fractional)
K  0.248  0.250  0.440
K  0.752  0.750  0.560
Ho  0.272  0.250  0.949
Ho  0.728  0.750  0.051
Si  0.275  0.750  0.170
Si  0.725  0.250  0.830
Se  0.070  0.750  0.921
Se  0.077  0.750  0.333
Se  0.494  0.504  0.789
Se  0.494  0.996  0.789
Se  0.506  0.004  0.211
Se  0.506  0.496  0.211
Se  0.923  0.250  0.667
Se  0.930  0.250  0.079



Entry from Alexandria via LeMat-Bulk: crystalline K3Sm2HoSe6 at its relaxed geometry (PBE).

Values from the calculation:
For the calculated total energy, the calculation gives -0.3634 Ry per atom. The mass density is 4.83 g/cm³. The value obtained for the formation energy from raw total energies is -1759 meV/atom.

a = 7.387 Å, b = 7.387 Å, c = 8.078 Å
α = 98.77°, β = 98.77°, γ = 120.00°
Element x y z (fractional)
K  0.000  0.000  0.000
K  0.332  0.668  0.000
K  0.668  0.332  0.000
Sm  0.167  0.833  0.500
Sm  0.833  0.167  0.500
Ho  0.500  0.500  0.500
Se  0.104  0.431  0.293
Se  0.242  0.242  0.707
Se  0.431  0.104  0.293
Se  0.569  0.896  0.707
Se  0.758  0.758  0.293
Se  0.896  0.569  0.707



Entry from Alexandria via LeMat-Bulk: crystalline K3SmHo2Se6 at its relaxed geometry (PBE).

Values from the calculation:
For the calculated total energy, the calculation gives -0.3625 Ry per atom. The mass density is 4.98 g/cm³. The value obtained for the formation energy from raw total energies is -1760 meV/atom.

a = 7.327 Å, b = 7.327 Å, c = 8.065 Å
α = 98.71°, β = 98.71°, γ = 120.00°
Element x y z (fractional)
K  0.000  0.000  0.000
K  0.334  0.666  0.000
K  0.666  0.334  0.000
Sm  0.500  0.500  0.500
Ho  0.167  0.833  0.500
Ho  0.833  0.167  0.500
Se  0.092  0.431  0.294
Se  0.229  0.229  0.706
Se  0.431  0.092  0.294
Se  0.569  0.908  0.706
Se  0.771  0.771  0.294
Se  0.908  0.569  0.706



Entry from Alexandria via LeMat-Bulk: crystalline KSmHo4Se8 at its relaxed geometry (PBE).

Values from the calculation:
For the calculated total energy, the calculation gives -0.4011 Ry per atom. The mass density is 5.49 g/cm³. The value obtained for the formation energy from raw total energies is -1742 meV/atom.

a = 8.632 Å, b = 8.632 Å, c = 8.632 Å
α = 59.32°, β = 59.32°, γ = 59.32°
Element x y z (fractional)
K  0.000  0.000  0.000
Sm  0.633  0.633  0.633
Ho  0.114  0.633  0.633
Ho  0.254  0.254  0.254
Ho  0.633  0.114  0.633
Ho  0.633  0.633  0.114
Se  0.382  0.382  0.858
Se  0.382  0.858  0.382
Se  0.386  0.386  0.386
Se  0.423  0.867  0.867
Se  0.858  0.382  0.382
Se  0.861  0.861  0.861
Se  0.867  0.423  0.867
Se  0.867  0.867  0.423



Entry from Alexandria via LeMat-Bulk: crystalline K2Ho2SnSe6 at its relaxed geometry (PBE).

Values from the calculation:
For the calculated total energy, the calculation gives -0.3412 Ry per atom. The mass density is 4.82 g/cm³. The value obtained for the formation energy from raw total energies is -1346 meV/atom.

a = 7.089 Å, b = 7.089 Å, c = 8.273 Å
α = 98.27°, β = 98.27°, γ = 119.96°
Element x y z (fractional)
K  0.169  0.831  0.000
K  0.831  0.169  0.000
Ho  0.332  0.668  0.500
Ho  0.668  0.332  0.500
Sn  0.000  0.000  0.500
Se  0.069  0.391  0.700
Se  0.252  0.252  0.304
Se  0.391  0.069  0.700
Se  0.609  0.931  0.300
Se  0.748  0.748  0.696
Se  0.931  0.609  0.300



Entry from Alexandria via LeMat-Bulk: crystalline KHoSnSe3 at its relaxed geometry (PBE).

Values from the calculation:
For the calculated total energy, the calculation gives -0.3331 Ry per atom. The mass density is 4.52 g/cm³. The value obtained for the formation energy from raw total energies is -1177 meV/atom.

a = 8.757 Å, b = 8.757 Å, c = 11.774 Å
α = 90.00°, β = 90.00°, γ = 152.90°
Element x y z (fractional)
K  0.180  0.820  0.750
K  0.820  0.180  0.250
Ho  0.500  0.500  0.000
Ho  0.500  0.500  0.500
Sn  0.119  0.881  0.250
Sn  0.881  0.119  0.750
Se  0.115  0.885  0.002
Se  0.115  0.885  0.498
Se  0.491  0.509  0.750
Se  0.509  0.491  0.250
Se  0.885  0.115  0.502
Se  0.885  0.115  0.998



Entry from Alexandria via LeMat-Bulk: crystalline K3Ho2SnSe6 at its relaxed geometry (PBE).

Values from the calculation:
For the calculated total energy, the calculation gives -0.3320 Ry per atom. The mass density is 4.88 g/cm³. The value obtained for the formation energy from raw total energies is -1404 meV/atom.

a = 7.299 Å, b = 7.299 Å, c = 8.048 Å
α = 98.68°, β = 98.68°, γ = 120.00°
Element x y z (fractional)
K  0.000  0.000  0.000
K  0.335  0.665  0.000
K  0.665  0.335  0.000
Ho  0.167  0.833  0.500
Ho  0.833  0.167  0.500
Sn  0.500  0.500  0.500
Se  0.096  0.432  0.296
Se  0.232  0.232  0.704
Se  0.432  0.096  0.296
Se  0.568  0.904  0.704
Se  0.768  0.768  0.296
Se  0.904  0.568  0.704



Entry from Alexandria via LeMat-Bulk: crystalline K2HoSnSe4 at its relaxed geometry (PBE).

Values from the calculation:
For the calculated total energy, the calculation gives -0.3181 Ry per atom. The mass density is 4.76 g/cm³. The value obtained for the formation energy from raw total energies is -1238 meV/atom.

a = 7.349 Å, b = 4.177 Å, c = 8.057 Å
α = 90.00°, β = 107.22°, γ = 90.00°
Element x y z (fractional)
K  0.000  0.000  0.000
K  0.500  0.500  0.000
Ho  0.000  0.500  0.500
Sn  0.500  0.000  0.500
Se  0.233  0.000  0.703
Se  0.262  0.500  0.296
Se  0.738  0.500  0.704
Se  0.767  0.000  0.297



Entry from Alexandria via LeMat-Bulk: crystalline KHo2Sn3Se6 at its relaxed geometry (PBE).

Values from the calculation:
For the calculated total energy, the calculation gives -0.3394 Ry per atom. The mass density is 5.76 g/cm³. The value obtained for the formation energy from raw total energies is -1020 meV/atom.

a = 9.486 Å, b = 9.486 Å, c = 9.290 Å
α = 100.21°, β = 100.21°, γ = 24.87°
Element x y z (fractional)
K  0.000  0.000  0.000
Ho  0.330  0.330  0.662
Ho  0.670  0.670  0.338
Sn  0.000  0.000  0.500
Sn  0.338  0.338  0.171
Sn  0.662  0.662  0.829
Se  0.168  0.168  0.560
Se  0.185  0.185  0.128
Se  0.482  0.482  0.723
Se  0.518  0.518  0.277
Se  0.815  0.815  0.872
Se  0.832  0.832  0.440



Entry from Alexandria via LeMat-Bulk: crystalline K3Ho3TaSe8 at its relaxed geometry (PBE).

Values from the calculation:
For the calculated total energy, the calculation gives -0.3889 Ry per atom. The mass density is 5.26 g/cm³. The value obtained for the formation energy from raw total energies is -1507 meV/atom.

a = 9.160 Å, b = 9.160 Å, c = 9.160 Å
α = 52.66°, β = 52.66°, γ = 52.66°
Element x y z (fractional)
K  0.000  0.500  0.500
K  0.500  0.000  0.500
K  0.500  0.500  0.000
Ho  0.000  0.000  0.500
Ho  0.000  0.500  0.000
Ho  0.500  0.000  0.000
Ta  0.500  0.500  0.500
Se  0.235  0.235  0.235
Se  0.253  0.721  0.721
Se  0.279  0.279  0.747
Se  0.279  0.747  0.279
Se  0.721  0.253  0.721
Se  0.721  0.721  0.253
Se  0.747  0.279  0.279
Se  0.765  0.765  0.765



Entry from Alexandria via LeMat-Bulk: crystalline K4Tb3HoSe8 at its relaxed geometry (PBE).

Values from the calculation:
For the calculated total energy, the calculation gives -0.3628 Ry per atom. The mass density is 5.00 g/cm³. The value obtained for the formation energy from raw total energies is -1765 meV/atom.

a = 9.101 Å, b = 9.101 Å, c = 9.101 Å
α = 55.28°, β = 55.28°, γ = 55.28°
Element x y z (fractional)
K  0.000  0.000  0.000
K  0.000  0.500  0.500
K  0.500  0.000  0.500
K  0.500  0.500  0.000
Tb  0.000  0.000  0.500
Tb  0.000  0.500  0.000
Tb  0.500  0.000  0.000
Ho  0.500  0.500  0.500
Se  0.235  0.235  0.235
Se  0.237  0.734  0.734
Se  0.266  0.266  0.763
Se  0.266  0.763  0.266
Se  0.734  0.237  0.734
Se  0.734  0.734  0.237
Se  0.763  0.266  0.266
Se  0.765  0.765  0.765



Entry from Alexandria via LeMat-Bulk: crystalline K3Tb3HoSe8 at its relaxed geometry (PBE).

Values from the calculation:
For the calculated total energy, the calculation gives -0.3667 Ry per atom. The mass density is 4.89 g/cm³. The value obtained for the formation energy from raw total energies is -1681 meV/atom.

a = 8.335 Å, b = 8.335 Å, c = 9.214 Å
α = 116.95°, β = 116.95°, γ = 59.96°
Element x y z (fractional)
K  0.000  0.000  0.000
K  0.000  0.500  0.000
K  0.500  0.000  0.000
Tb  0.000  0.500  0.500
Tb  0.500  0.000  0.500
Tb  0.500  0.500  0.500
Ho  0.000  0.000  0.500
Se  0.233  0.233  0.702
Se  0.233  0.736  0.702
Se  0.264  0.767  0.298
Se  0.265  0.265  0.294
Se  0.735  0.735  0.706
Se  0.736  0.233  0.702
Se  0.767  0.264  0.298
Se  0.767  0.767  0.298



Entry from Alexandria via LeMat-Bulk: crystalline KTb4HoSe8 at its relaxed geometry (PBE).

Values from the calculation:
For the calculated total energy, the calculation gives -0.4022 Ry per atom. The mass density is 5.43 g/cm³. The value obtained for the formation energy from raw total energies is -1752 meV/atom.

a = 8.585 Å, b = 8.585 Å, c = 8.585 Å
α = 60.25°, β = 60.25°, γ = 60.25°
Element x y z (fractional)
K  0.000  0.000  0.000
Tb  0.109  0.629  0.629
Tb  0.249  0.249  0.249
Tb  0.629  0.109  0.629
Tb  0.629  0.629  0.109
Ho  0.628  0.628  0.628
Se  0.381  0.381  0.381
Se  0.382  0.382  0.850
Se  0.382  0.850  0.382
Se  0.420  0.857  0.857
Se  0.850  0.382  0.382
Se  0.857  0.420  0.857
Se  0.857  0.857  0.420
Se  0.859  0.859  0.859



Entry from Alexandria via LeMat-Bulk: crystalline KHoTeSe at its relaxed geometry (PBE).

Values from the calculation:
For the calculated total energy, the calculation gives -0.3390 Ry per atom. The mass density is 5.21 g/cm³. The value obtained for the formation energy from raw total energies is -1537 meV/atom.

a = 4.303 Å, b = 4.303 Å, c = 24.502 Å
α = 90.00°, β = 90.00°, γ = 120.00°
Element x y z (fractional)
K  0.000  0.000  0.000
K  0.333  0.667  0.667
K  0.667  0.333  0.333
Ho  0.000  0.000  0.160
Ho  0.333  0.667  0.827
Ho  0.667  0.333  0.493
Te  0.000  0.000  0.567
Te  0.333  0.667  0.234
Te  0.667  0.333  0.901
Se  0.000  0.000  0.765
Se  0.333  0.667  0.431
Se  0.667  0.333  0.098